# 1
Below is an optimized crystal structure of CoSbN3, with properties calculated at the PBE-GGA level.

POSCAR file:
```
CoSbN3
1.0
3.996 0.000 0.000
0.000 3.996 0.000
0.000 0.000 3.996
N Co Sb
3 1 1
Direct
0.500 0.000 0.000 N
0.000 0.000 0.500 N
0.000 0.500 0.000 N
0.500 0.500 0.500 Co
0.000 0.000 0.000 Sb
```

The calculation puts the uncorrected formation energy at 9.4 eV per formula unit. The value obtained for the uncorrected energy is -5.36 eV/atom. The value obtained for the volume is 63.8 Å³/cell.

***

# 2
Below is an optimized crystal structure of Mg2PdRu, with properties calculated at the PBE-GGA level.

POSCAR file:
```
Mg2PdRu
1.0
-2.769 1.171 -0.821
-1.415 -1.986 1.941
0.429 4.365 4.778
Pd Mg Ru
1 2 1
Direct
0.500 0.500 0.500 Pd
0.000 0.000 0.248 Mg
0.000 0.000 0.752 Mg
0.500 0.500 0.000 Ru
```

The formation energy is -260.3 meV/atom. The value obtained for the uncorrected energy is -4.67 eV/atom. The value obtained for the volume is 63.0 Å³/cell.

***

# 3
Below is an optimized crystal structure of BaTi6O12, with properties calculated at the PBE-GGA level.

POSCAR file:
```
BaTi6O12
1.0
-1.208 3.216 -5.188
-5.164 0.371 3.450
4.305 3.292 3.056
Ti Ba O
6 1 12
Direct
0.758 0.379 0.758 Ti
0.242 0.621 0.242 Ti
0.242 0.242 0.621 Ti
0.621 0.242 0.242 Ti
0.758 0.758 0.379 Ti
0.379 0.758 0.758 Ti
0.000 0.000 0.000 Ba
0.500 0.878 0.122 O
0.552 0.552 0.818 O
0.448 0.182 0.448 O
0.500 0.122 0.878 O
0.122 0.500 0.878 O
0.122 0.878 0.500 O
0.552 0.818 0.552 O
0.878 0.122 0.500 O
0.818 0.552 0.552 O
0.448 0.448 0.182 O
0.182 0.448 0.448 O
0.878 0.500 0.122 O
```

The calculation puts the uncorrected formation energy at -50.0 eV per formula unit. The value obtained for the uncorrected energy is -8.36 eV/atom. The value obtained for the energy above the most stable polymorph in this dataset is 403 meV/atom. The value obtained for the volume is 207.4 Å³/cell.

***

# 4
Below is an optimized crystal structure of V3Si2, with properties calculated at the PBE-GGA level.

POSCAR file:
```
V3Si2
1.0
3.238 0.000 0.000
0.000 8.918 0.000
0.000 0.000 9.593
Si V
8 12
Direct
0.250 0.998 0.794 Si
0.250 0.502 0.294 Si
0.750 0.002 0.206 Si
0.750 0.678 0.049 Si
0.250 0.322 0.951 Si
0.250 0.178 0.451 Si
0.750 0.498 0.706 Si
0.750 0.822 0.549 Si
0.750 0.083 0.621 V
0.750 0.786 0.803 V
0.750 0.417 0.121 V
0.250 0.286 0.697 V
0.250 0.890 0.038 V
0.250 0.917 0.379 V
0.250 0.214 0.197 V
0.750 0.110 0.962 V
0.750 0.390 0.462 V
0.250 0.610 0.538 V
0.750 0.714 0.303 V
0.250 0.583 0.879 V
```

The calculation puts the uncorrected formation energy at -1.8 eV per formula unit. The value obtained for the uncorrected energy is -8.01 eV/atom. The value obtained for the volume is 277.0 Å³/cell.

***

# 5
Below is an optimized crystal structure of BeHAu3, with properties calculated at the PBE-GGA level.

POSCAR file:
```
BeHAu3
1.0
4.110 0.000 0.000
0.000 4.110 0.000
0.000 0.000 4.110
Au Be H
3 1 1
Direct
0.000 0.000 0.500 Au
0.500 0.000 0.000 Au
0.000 0.500 0.000 Au
0.500 0.500 0.500 Be
0.000 0.000 0.000 H
```

The value obtained for the uncorrected energy is -3.02 eV/atom. The value obtained for the energy above the most stable polymorph in this dataset is 0 meV/atom. The value obtained for the volume is 69.4 Å³/cell.

***

# 6
Below is an optimized crystal structure of EuYMgGe, with properties calculated at the PBE-GGA level.

POSCAR file:
```
EuYMgGe
1.0
5.250 0.000 0.000
2.625 4.547 0.000
2.625 1.516 4.287
Y Ge Mg Eu
1 1 1 1
Direct
0.250 0.250 0.250 Y
0.000 0.000 0.000 Ge
0.500 0.500 0.500 Mg
0.750 0.750 0.750 Eu
```

The formation energy is -346.3 meV/atom. The value obtained for the uncorrected energy is -6.08 eV/atom. The value obtained for the volume is 102.3 Å³/cell.

***

# 7
Below is an optimized crystal structure of BeAg2Hg, with properties calculated at the PBE-GGA level.

POSCAR file:
```
BeAg2Hg
1.0
-3.952 3.131 -0.622
-4.015 -1.359 2.800
4.921 0.719 1.036
Ag Hg Be
2 1 1
Direct
0.000 0.000 0.000 Ag
0.500 0.500 0.000 Ag
0.750 0.250 0.500 Hg
0.250 0.750 0.500 Be
```

The formation energy is 289.5 meV/atom. The value obtained for the uncorrected energy is -2.14 eV/atom. The value obtained for the energy above the most stable polymorph in this dataset is 138 meV/atom. The value obtained for the volume is 67.3 Å³/cell.

***

# 8
Below is an optimized crystal structure of PrY2Mg9, with properties calculated at the PBE-GGA level.

POSCAR file:
```
PrY2Mg9
1.0
6.069 0.000 0.000
3.035 5.256 0.000
3.035 1.752 9.772
Y Mg Pr
2 9 1
Direct
0.143 0.143 0.570 Y
0.857 0.857 0.430 Y
0.080 0.587 0.746 Mg
0.587 0.080 0.746 Mg
0.920 0.413 0.254 Mg
0.413 0.920 0.254 Mg
0.666 0.666 0.002 Mg
0.500 0.500 0.500 Mg
0.334 0.334 0.998 Mg
0.587 0.587 0.746 Mg
0.413 0.413 0.254 Mg
0.000 0.000 0.000 Pr
```

The formation energy is -71.0 meV/atom. The value obtained for the uncorrected energy is -2.74 eV/atom. The value obtained for the volume is 311.7 Å³/cell.